{
  "formula": "Rb2NaTcF6",
  "functional": "PBE",
  "state": "optimized geometry",
  "volume_a3_per_fu": 165.31,
  "dos_at_fermi_per_ev_atom": 0.64,
  "total_magnetization_mub_per_cell": 2.00,
  "e_form_raw_ev_per_atom": -2.471,
  "lattice": [[6.189, 0.000, 0.000], [0.000, 6.189, 0.000], [3.094, 3.094, 4.316]],
  "species": ["Na", "Rb", "F", "F", "F", "Rb", "F", "Tc", "F", "F"],
  "frac_coords": [[0.500, 0.500, 0.000], [0.750, 0.250, 0.500], [0.763, 0.763, 0.000], [0.237, 0.763, 0.000], [0.763, 0.237, 0.000], [0.250, 0.750, 0.500], [0.766, 0.766, 0.467], [0.000, 0.000, 0.000], [0.234, 0.234, 0.533], [0.237, 0.237, 0.000]]
}

---

{
  "formula": "RbNa2ThF8",
  "functional": "PBE",
  "state": "optimized geometry",
  "volume_a3_per_fu": 203.19,
  "dos_at_fermi_per_ev_atom": 0.96,
  "total_magnetization_mub_per_cell": 1.12,
  "e_form_raw_ev_per_atom": -3.089,
  "lattice": [[-0.559, 5.691, 0.758], [-2.965, -0.939, 4.858], [6.966, -2.291, 0.384]],
  "species": ["F", "F", "Na", "F", "F", "F", "Rb", "Th", "F", "Na", "F", "F"],
  "frac_coords": [[0.888, 0.359, 0.221], [0.138, 0.112, 0.779], [0.500, 0.500, 0.000], [0.139, 0.667, 0.780], [0.332, 0.862, 0.221], [0.333, 0.358, 0.220], [0.750, 0.250, 0.500], [0.000, 0.000, 0.000], [0.641, 0.668, 0.779], [0.250, 0.750, 0.500], [0.642, 0.113, 0.780], [0.887, 0.861, 0.220]]
}

---

{
  "formula": "RbNaThF6",
  "functional": "PBE",
  "state": "optimized geometry",
  "volume_a3_per_fu": 187.61,
  "dos_at_fermi_per_ev_atom": 0.00,
  "total_magnetization_mub_per_cell": 0.00,
  "e_form_raw_ev_per_atom": -3.526,
  "lattice": [[-4.565, -3.415, 0.184], [1.745, -2.062, 5.024], [-5.946, 8.243, 5.447]],
  "species": ["F", "F", "F", "F", "F", "Th", "F", "Na", "F", "Th", "Na", "F", "F", "F", "Rb", "F", "F", "Rb"],
  "frac_coords": [[0.833, 0.167, 0.512], [0.667, 0.667, 0.012], [0.167, 0.833, 0.512], [0.778, 0.222, 0.187], [0.333, 0.333, 0.012], [0.500, 0.500, 0.168], [0.722, 0.722, 0.687], [0.000, 0.000, 0.330], [0.222, 0.778, 0.187], [0.000, 0.000, 0.668], [0.500, 0.500, 0.830], [0.296, 0.296, 0.300], [0.278, 0.278, 0.687], [0.704, 0.704, 0.300], [0.000, 0.000, 0.004], [0.204, 0.796, 0.800], [0.796, 0.204, 0.800], [0.500, 0.500, 0.504]]
}

---

{
  "formula": "RbNaTiF6",
  "functional": "PBE",
  "state": "optimized geometry",
  "volume_a3_per_fu": 165.51,
  "dos_at_fermi_per_ev_atom": 0.00,
  "total_magnetization_mub_per_cell": 0.00,
  "e_form_raw_ev_per_atom": -3.239,
  "lattice": [[5.714, 0.000, 0.000], [0.000, 5.783, 0.000], [0.000, -2.892, 5.008]],
  "species": ["Na", "F", "F", "F", "Rb", "Ti", "F", "F", "F"],
  "frac_coords": [[0.500, 0.667, 0.333], [0.689, 0.979, 0.259], [0.689, 0.741, 0.721], [0.689, 0.279, 0.021], [0.000, 0.333, 0.667], [0.500, 0.000, 0.000], [0.311, 0.741, 0.021], [0.311, 0.279, 0.259], [0.311, 0.979, 0.721]]
}

---

{
  "formula": "RbNa2TiF8",
  "functional": "PBE",
  "state": "optimized geometry",
  "volume_a3_per_fu": 192.69,
  "total_magnetization_mub_per_cell": 1.12,
  "e_form_raw_ev_per_atom": -2.867,
  "lattice": [[5.194, -0.009, 0.072], [0.005, 4.868, 0.210], [0.129, 0.469, 7.643]],
  "species": ["Ti", "Na", "F", "F", "Na", "F", "Rb", "F", "F", "F", "F", "F"],
  "frac_coords": [[0.000, 0.000, 0.000], [0.501, 0.505, 0.214], [0.190, 0.819, 0.831], [0.131, 0.760, 0.187], [0.499, 0.495, 0.786], [0.281, 0.244, 0.018], [0.000, 0.000, 0.500], [0.869, 0.240, 0.813], [0.719, 0.756, 0.982], [0.536, 0.700, 0.490], [0.464, 0.300, 0.510], [0.810, 0.181, 0.169]]
}

---

{
  "formula": "Rb2NaTiF6",
  "functional": "PBE",
  "state": "optimized geometry",
  "volume_a3_per_fu": 161.90,
  "dos_at_fermi_per_ev_atom": 0.85,
  "total_magnetization_mub_per_cell": 1.00,
  "e_form_raw_ev_per_atom": -3.065,
  "lattice": [[6.118, 0.000, 0.000], [3.059, 5.298, 0.000], [3.059, 1.766, 4.995]],
  "species": ["Rb", "Na", "Rb", "F", "F", "F", "F", "F", "Ti", "F"],
  "frac_coords": [[0.750, 0.750, 0.750], [0.500, 0.500, 0.500], [0.250, 0.250, 0.250], [0.231, 0.769, 0.769], [0.769, 0.769, 0.231], [0.769, 0.231, 0.231], [0.231, 0.231, 0.769], [0.231, 0.769, 0.231], [0.000, 0.000, 0.000], [0.769, 0.231, 0.769]]
}

---

{
  "formula": "RbNa2TlF",
  "functional": "PBE",
  "state": "optimized geometry",
  "volume_a3_per_fu": 144.98,
  "dos_at_fermi_per_ev_atom": 0.50,
  "total_magnetization_mub_per_cell": 0.00,
  "e_form_raw_ev_per_atom": -0.959,
  "lattice": [[-1.340, 1.747, 4.567], [-4.787, 0.496, -1.594], [-1.108, -5.265, 1.689]],
  "species": ["Na", "Tl", "Rb", "F", "Na"],
  "frac_coords": [[0.500, 0.000, 0.000], [0.500, 0.500, 0.500], [0.000, 0.000, 0.500], [0.000, 0.000, 0.000], [0.000, 0.500, 0.000]]
}

---

{
  "formula": "RbNaTlF6",
  "functional": "PBE",
  "state": "optimized geometry",
  "volume_a3_per_fu": 174.61,
  "dos_at_fermi_per_ev_atom": 0.49,
  "total_magnetization_mub_per_cell": 2.03,
  "e_form_raw_ev_per_atom": -2.008,
  "lattice": [[7.167, 0.000, 0.000], [0.000, 8.298, 0.000], [-3.584, -4.149, 5.872]],
  "species": ["F", "F", "F", "F", "F", "F", "Na", "F", "Tl", "F", "F", "Rb", "Tl", "Na", "F", "F", "F", "Rb"],
  "frac_coords": [[0.161, 0.923, 0.758], [0.403, 0.665, 0.242], [0.597, 0.335, 0.758], [0.839, 0.077, 0.242], [0.574, 0.324, 0.148], [0.161, 0.335, 0.758], [0.500, 0.000, 0.500], [0.131, 0.881, 0.263], [0.500, 0.500, 0.000], [0.403, 0.077, 0.242], [0.597, 0.923, 0.758], [0.107, 0.357, 0.215], [0.500, 0.000, 0.000], [0.000, 0.000, 0.500], [0.839, 0.665, 0.242], [0.426, 0.676, 0.852], [0.869, 0.119, 0.737], [0.893, 0.643, 0.785]]
}

---

The DFT total energy results, record by record, are as follows: -49.56 -63.07 -105.33 -50.56 -60.88 -53.03 -12.64 -67.91 eV per cell.